This record from Alexandria describes a geometry-optimized Tm3Tc8Mo structure. The functional is PBE.

Unit cell a=5.2957 b=5.2957 c=9.1722 alpha=73.22 beta=73.22 gamma=60.00
Last column: nearest neighbours and their distance in Å.
Sites, in units of the cell vectors:
Tm 0.6255 0.6255 0.1236  12 Tc 3.10-3.16, 4 Tm 3.25-3.29
Tm 0.0013 0.0013 0.9960  12 Tc 3.11-3.20, 1 Mo 3.20, 3 Tm 3.25
Tm 0.4988 0.4988 0.5035  12 Tc 3.02-3.10, 3 Mo 3.24, 1 Tm 3.29
Tc 0.5636 0.0678 0.8049  6 Tc 2.60-2.70
Tc 0.0618 0.5565 0.3198  6 Tc 2.61-2.68
Tc 0.5636 0.5636 0.8049  6 Tc 2.60-2.70
Tc 0.0618 0.0618 0.3198  6 Tc 2.61-2.68
Tc 0.8125 0.8125 0.5625  6 Tc 2.60-2.61
Tc 0.3121 0.3121 0.0637  6 Tc 2.68-2.70
Tc 0.0678 0.5636 0.8049  6 Tc 2.60-2.70
Tc 0.5565 0.0618 0.3198  6 Tc 2.61-2.68
Mo 0.1246 0.1246 0.6263  12 Tc 3.05-3.11, 4 Tm 3.20-3.24

Properties
- total energy (eV for the cell shown) = -108.0
- ΔE_f (eV/atom) = -0.0658


This record from Alexandria describes a geometry-optimized Li3Ce3PdS8 structure. The functional is PBE.

Unit cell a=7.8366 b=7.8321 c=7.6385 alpha=121.15 beta=90.00 gamma=120.02
Last column: nearest neighbours and their distance in Å.
Sites, in units of the cell vectors:
Li 0.0000 0.0000 0.0000  6 S 2.68-2.71
Li 0.0000 0.5000 0.0000  6 S 2.69-2.70
Li 0.5000 0.5000 0.0000  6 S 2.69-2.70
Ce 0.5000 0.0000 0.5000  6 S 2.77
Ce 0.5000 0.5000 0.5000  6 S 2.75-2.79
Ce 0.0000 0.5000 0.5000  6 S 2.75-2.79
Pd 0.0000 0.0000 0.5000  6 S 2.51-2.62
S 0.2458 0.4916 0.2392  3 Li 2.68-2.70, 3 Ce 2.77
S 0.7542 0.5084 0.7608  3 Li 2.68-2.70, 3 Ce 2.77
S 0.7698 0.5395 0.2631  1 Pd 2.51, 2 Li 2.70, 2 Ce 2.79
S 0.2302 0.4605 0.7369  1 Pd 2.51, 2 Li 2.70, 2 Ce 2.79
S 0.7598 0.9950 0.2553  1 Pd 2.62, 2 Li 2.69-2.71, 2 Ce 2.75-2.77
S 0.2402 0.0050 0.7447  1 Pd 2.62, 2 Li 2.69-2.71, 2 Ce 2.75-2.77
S 0.2352 0.9950 0.2553  1 Pd 2.62, 2 Li 2.69-2.71, 2 Ce 2.75-2.77
S 0.7648 0.0050 0.7447  1 Pd 2.62, 2 Li 2.69-2.71, 2 Ce 2.75-2.77

Properties
- E_form (uncorrected) (eV/f.u.) = -21.207
- total energy (eV for the cell shown) = -83.0